A relaxed InPtCl2 crystal. Source: Alexandria via LeMat-Bulk, functional PBE-GGA.

CIF file:
```
data_InPtCl2
_chemical_formula_sum 'In2 Pt2 Cl4'
_cell_length_a 7.481
_cell_length_b 3.365
_cell_length_c 8.667
_cell_angle_alpha 90.00
_cell_angle_beta 109.05
_cell_angle_gamma 90.00
_symmetry_space_group_name_H-M 'C 1 m 1'
_symmetry_Int_Tables_number 8
loop_
_symmetry_equiv_pos_as_xyz
'x,y,z'
'x,-y,z'
'x+1/2,y+1/2,z'
'x+1/2,-y+1/2,z'
loop_
_atom_site_label
_atom_site_fract_x
_atom_site_fract_y
_atom_site_fract_z
In1 0.000 0.000 0.000
Pt1 0.270 0.500 0.182
Cl1 0.348 0.000 0.772
Cl2 0.495 0.000 0.363
```

Values from the calculation:
ΔE_f (raw) ... -167 kJ/mol of formula units
Total magnetic moment ... 0.000 μB per cell
Crystal system ... monoclinic
E_tot ... -3.550 eV per atom


A relaxed RbAcGe4 crystal. Source: Alexandria via LeMat-Bulk, functional PBE-GGA.

CIF file:
```
data_RbAcGe4
_chemical_formula_sum 'Rb4 Ac4 Ge16'
_cell_length_a 8.597
_cell_length_b 8.597
_cell_length_c 8.597
_cell_angle_alpha 90.00
_cell_angle_beta 90.00
_cell_angle_gamma 90.00
_symmetry_space_group_name_H-M 'F -4 3 m'
_symmetry_Int_Tables_number 216
_symmetry_space_group_name_Hall 'F -4 2 3'
loop_
_atom_site_label
_atom_site_fract_x
_atom_site_fract_y
_atom_site_fract_z
Rb1 0.000 0.000 0.000
Ac1 0.250 0.250 0.750
Ge1 0.111 0.111 0.389
```

Values from the calculation:
Total magnetic moment ... 0.000 μB per cell
DFT formation energy ... -227 meV/atom
Crystal system ... cubic
E_tot ... -4.152 eV per atom


A relaxed Cs2K4TlSb2 crystal. Source: Alexandria via LeMat-Bulk, functional PBE-GGA.

CIF file:
```
data_Cs2K4TlSb2
_chemical_formula_sum 'Cs4 K8 Tl2 Sb4'
_cell_length_a 17.279
_cell_length_b 9.460
_cell_length_c 5.880
_cell_angle_alpha 90.00
_cell_angle_beta 109.73
_cell_angle_gamma 90.00
_symmetry_space_group_name_H-M 'C 1 2/m 1'
_symmetry_Int_Tables_number 12
loop_
_symmetry_equiv_pos_as_xyz
'x,y,z'
'-x,-y,-z'
'-x,y,-z'
'x,-y,z'
'x+1/2,y+1/2,z'
'-x+1/2,-y+1/2,-z'
'-x+1/2,y+1/2,-z'
'x+1/2,-y+1/2,z'
loop_
_atom_site_label
_atom_site_fract_x
_atom_site_fract_y
_atom_site_fract_z
Cs1 0.135 0.000 0.136
K1 0.148 0.301 0.649
Tl1 0.000 0.500 0.000
Sb1 0.208 0.500 0.209
```

Values from the calculation:
ΔE_f (raw) ... -208 kJ/mol of formula units
Total magnetic moment ... 1.436 μB per cell
Crystal system ... monoclinic
E_tot ... -2.096 eV per atom


A relaxed Cd2AgF5 crystal. Source: Alexandria via LeMat-Bulk, functional PBE-GGA.

CIF file:
```
data_Cd2AgF5
_chemical_formula_sum 'Cd8 Ag4 F20'
_cell_length_a 10.925
_cell_length_b 6.758
_cell_length_c 6.059
_cell_angle_alpha 90.00
_cell_angle_beta 90.00
_cell_angle_gamma 90.00
_symmetry_space_group_name_H-M 'P n m a'
_symmetry_Int_Tables_number 62
loop_
_symmetry_equiv_pos_as_xyz
'x,y,z'
'-x,-y,-z'
'-x+1/2,-y,z+1/2'
'x+1/2,y,-z+1/2'
'x+1/2,-y+1/2,-z+1/2'
'-x+1/2,y+1/2,z+1/2'
'-x,y+1/2,-z'
'x,-y+1/2,z'
loop_
_atom_site_label
_atom_site_fract_x
_atom_site_fract_y
_atom_site_fract_z
Cd1 0.171 0.000 0.022
Ag1 0.001 0.250 0.484
F1 0.006 0.250 0.010
F2 0.131 0.007 0.665
F3 0.187 0.750 0.282
F4 0.201 0.250 0.289
```

Values from the calculation:
ΔE_f (raw) ... -1373 kJ/mol of formula units
Total magnetic moment ... 0.387 μB per cell
Crystal system ... orthorhombic
E_tot ... -3.533 eV per atom


A relaxed PaMnNi crystal. Source: Alexandria via LeMat-Bulk, functional PBE-GGA.

CIF file:
```
data_PaMnNi
_chemical_formula_sum 'Pa1 Mn1 Ni1'
_cell_length_a 4.1656
_cell_length_b 4.1656
_cell_length_c 3.1323
_cell_angle_alpha 90.00
_cell_angle_beta 90.00
_cell_angle_gamma 120.00
_symmetry_space_group_name_H-M 'P 3 m 1'
_symmetry_Int_Tables_number 156
loop_
_symmetry_equiv_pos_as_xyz
'x,y,z'
'-y,x-y,z'
'-x+y,-x,z'
'-y,-x,z'
'-x+y,y,z'
'x,x-y,z'
loop_
_atom_site_label
_atom_site_fract_x
_atom_site_fract_y
_atom_site_fract_z
Pa1 0.0000 0.0000 0.0000
Mn1 0.3333 0.6667 0.0715
Ni1 0.6667 0.3333 0.5304
```

Values from the calculation:
Total magnetic moment ... 0.000 μB per cell
DFT formation energy ... 116 meV/atom
Crystal system ... trigonal
E_tot ... -8.033 eV per atom


A relaxed K2TmReN4 crystal. Source: Alexandria via LeMat-Bulk, functional PBE-GGA.

CIF file:
```
data_K2TmReN4
_chemical_formula_sum 'K4 Tm2 Re2 N8'
_cell_length_a 5.934
_cell_length_b 5.934
_cell_length_c 8.957
_cell_angle_alpha 90.00
_cell_angle_beta 90.00
_cell_angle_gamma 90.00
_symmetry_space_group_name_H-M 'I -4'
_symmetry_Int_Tables_number 82
loop_
_symmetry_equiv_pos_as_xyz
'x,y,z'
'y,-x,-z'
'-x,-y,z'
'-y,x,-z'
'x+1/2,y+1/2,z+1/2'
'y+1/2,-x+1/2,-z+1/2'
'-x+1/2,-y+1/2,z+1/2'
'-y+1/2,x+1/2,-z+1/2'
loop_
_atom_site_label
_atom_site_fract_x
_atom_site_fract_y
_atom_site_fract_z
K1 0.000 0.000 0.000
K2 0.000 0.500 0.250
Tm1 0.000 0.000 0.500
Re1 0.000 0.500 0.750
N1 0.129 0.720 0.634
```

Values from the calculation:
ΔE_f (raw) ... -513 kJ/mol of formula units
Total magnetic moment ... 0.000 μB per cell
Crystal system ... tetragonal
E_tot ... -7.217 eV per atom


total magnetic moment of number 5 (PaMnNi)?
0.000 μB per cell


What is the total magnetic moment in the fourth record?
0.387 μB per cell